DFT (PBE+U) results for a relaxed structure of VGaTcO6.

abc: 4.584 4.584 9.139
angles: 90.00 90.00 90.00
Space group P4_2nm (No. 102)
Symmetry-distinct sites (fractional):
V  0.000  0.000  0.000
Ga  0.000  0.000  0.668
Tc  0.000  0.000  0.333
O  0.194  0.194  0.167
O  0.199  0.199  0.834
O  0.201  0.201  0.497

Values from the calculation:
E_tot   -0.26751 hartree per atom